Entry from Alexandria via LeMat-Bulk: a relaxed Ce6Sn2Ge crystal (GGA-PBE).

Geometry as extended XYZ:
```
9
Lattice="4.948 0.000 -0.146 0.000 6.889 0.000 -2.201 -3.444 8.482" Properties=species:S:1:pos:R:3 pbc="T T T"
Ce 0.093 1.371 2.722
Ce 2.654 -2.073 5.614
Ce 2.654 2.073 5.614
Ce 2.474 1.717 -0.073
Ce 0.093 5.517 2.722
Ce 2.474 5.172 -0.073
Sn 2.569 3.444 2.678
Sn 0.177 0.000 5.659
Ge 0.000 0.000 0.000
```

Energy relative to the elements, eV per atom: -0.254
Total moment, μB per formula unit: 6.484

---

Entry from Alexandria via LeMat-Bulk: a relaxed Ce7SnGe3 crystal (GGA-PBE).

Geometry as extended XYZ:
```
11
Lattice="5.865 -0.084 -0.108 -2.831 7.315 0.088 -2.831 -1.689 7.118" Properties=species:S:1:pos:R:3 pbc="T T T"
Ce 0.031 0.832 1.065
Ce 0.071 -0.452 4.337
Ce 0.132 1.225 6.485
Ce 0.071 4.317 0.613
Ce -2.831 2.813 3.603
Ce 0.132 5.995 2.760
Ce 0.172 4.711 6.032
Sn 0.102 2.771 3.549
Ge -2.831 5.175 1.759
Ge 2.932 -0.042 -0.054
Ge -2.831 0.452 5.447
```

Energy relative to the elements, eV per atom: -0.446
Total moment, μB per formula unit: 6.246

---

Entry from Alexandria via LeMat-Bulk: a relaxed Ce7Sn3Ge crystal (GGA-PBE).

Geometry as extended XYZ:
```
11
Lattice="5.940 -0.104 -0.133 -2.841 7.540 0.015 -2.841 -1.814 7.318" Properties=species:S:1:pos:R:3 pbc="T T T"
Ce 0.043 0.919 1.177
Ce 0.091 -0.345 4.370
Ce 0.167 1.299 6.476
Ce 0.091 4.323 0.724
Ce -2.841 2.863 3.666
Ce 0.167 5.968 2.830
Ce 0.215 4.703 6.023
Sn -2.841 5.317 1.750
Sn 2.970 -0.052 -0.066
Sn -2.841 0.409 5.583
Ge 0.129 2.811 3.600
```

Energy relative to the elements, eV per atom: -0.423
Total moment, μB per formula unit: 5.885

---

Entry from Alexandria via LeMat-Bulk: a relaxed CeSnGe2 crystal (GGA-PBE).

Geometry as extended XYZ:
```
4
Lattice="4.814 0.000 0.000 2.407 4.169 0.000 2.407 1.390 7.094" Properties=species:S:1:pos:R:3 pbc="T T T"
Ge 2.407 1.390 4.555
Ge 7.221 4.169 2.540
Sn 0.000 0.000 0.000
Ce 4.814 2.779 3.547
```

Offset from the most stable computed form, meV/atom: 742
Energy relative to the elements, eV per atom: 0.226
Total moment, μB per formula unit: 0.277

---

Entry from Alexandria via LeMat-Bulk: a relaxed CeSnGe2 crystal (GGA-PBE).

Geometry as extended XYZ:
```
4
Lattice="-0.403 -3.668 0.958 -0.360 -0.922 -3.681 6.265 -0.797 -0.413" Properties=species:S:1:pos:R:3 pbc="T T T"
Ge 4.885 -0.622 -0.322
Ge 1.380 -0.176 -0.091
Sn -0.382 -2.295 -1.362
Ce 2.751 -2.694 -1.568
```

Offset from the most stable computed form, meV/atom: 235
Energy relative to the elements, eV per atom: -0.281
Total moment, μB per formula unit: 0.786

---

Entry from Alexandria via LeMat-Bulk: a relaxed Ce5Sn2Ge crystal (GGA-PBE).

Geometry as extended XYZ:
```
16
Lattice="-6.146 -5.444 -1.211 5.577 -6.013 -1.271 0.251 4.384 7.451" Properties=species:S:1:pos:R:3 pbc="T T T"
Ce 0.731 -3.803 3.512
Ce 0.457 -9.084 0.205
Ce 0.000 0.000 0.000
Ce -0.284 -5.728 -1.241
Ce -0.775 2.012 4.763
Ce -2.996 -1.628 3.963
Ce 2.952 -0.163 4.312
Ce 2.679 -5.444 1.005
Ce -3.270 -6.909 0.656
Ce -1.049 -3.269 1.456
Sn 1.287 -2.934 -0.628
Sn -3.146 -4.189 -0.924
Sn 2.577 -7.267 -1.559
Sn -1.856 -8.523 -1.855
Ge -0.301 -6.400 1.863
Ge -0.017 -0.672 3.105
```

Energy relative to the elements, eV per atom: -0.516
Total moment, μB per formula unit: 5.079